No. 1
Entry from the Alexandria database: a geometry-optimized NdDyAg2 structure (GGA-PBE).

a b c (Å): 7.404 7.404 7.404
angles (deg): 90.00 90.00 90.00
Element x y z (fractional)
1 Nd 0.000 0.000 0.000
2 Nd 0.000 0.500 0.500
3 Nd 0.500 0.000 0.500
4 Nd 0.500 0.500 0.000
5 Dy 0.000 0.000 0.500
6 Dy 0.000 0.500 0.000
7 Dy 0.500 0.000 0.000
8 Dy 0.500 0.500 0.500
9 Ag 0.250 0.250 0.250
10 Ag 0.250 0.250 0.750
11 Ag 0.250 0.750 0.250
12 Ag 0.250 0.750 0.750
13 Ag 0.750 0.250 0.250
14 Ag 0.750 0.250 0.750
15 Ag 0.750 0.750 0.250
16 Ag 0.750 0.750 0.750

Output
As for the total energy: -4.05 eV/atom. Its space-group type is Fm-3m, No. 225. Its polymorph energy (0 for the lowest one) is 17 meV/atom. Its density of states at the Fermi level is 0.9405 states/eV per atom. As for the formation energy: -0.277 eV per atom.

=====

No. 2
Entry from the Alexandria database: a geometry-optimized Nd3DyAg2 structure (GGA-PBE).

a b c (Å): 8.875 8.875 8.875
angles (deg): 132.84 72.42 128.47
Element x y z (fractional)
1 Nd 0.026 0.750 0.276
2 Nd 0.250 0.250 0.000
3 Nd 0.474 0.750 0.724
4 Nd 0.526 0.250 0.276
5 Nd 0.750 0.750 0.000
6 Nd 0.974 0.250 0.724
7 Dy 0.000 0.500 0.500
8 Dy 0.500 0.000 0.500
9 Ag 0.140 0.195 0.336
10 Ag 0.360 0.695 0.055
11 Ag 0.640 0.305 0.945
12 Ag 0.860 0.805 0.664

Output
As for the total energy: -4.04 eV/atom. Its space-group type is Ibam, No. 72. Its polymorph energy (0 for the lowest one) is 220 meV/atom. Its density of states at the Fermi level is 1.4705 states/eV per atom. As for the formation energy: 0.064 eV per atom.

=====

No. 3
Entry from the Alexandria database: a geometry-optimized Nd4DyAg structure (GGA-PBE).

a b c (Å): 3.675 3.675 14.170
angles (deg): 90.00 90.00 90.00
Element x y z (fractional)
1 Nd 0.000 0.000 0.139
2 Nd 0.000 0.000 0.861
3 Nd 0.500 0.500 0.324
4 Nd 0.500 0.500 0.676
5 Dy 0.000 0.000 0.500
6 Ag 0.500 0.500 0.000

Output
As for the total energy: -4.49 eV/atom. Its space-group type is P4/mmm, No. 123. Its density of states at the Fermi level is 1.4664 states/eV per atom. As for the formation energy: -0.065 eV per atom.

=====

No. 4
Entry from the Alexandria database: a geometry-optimized NdDyNiAg structure (GGA-PBE).

a b c (Å): 7.159 7.159 7.159
angles (deg): 90.00 90.00 90.00
Element x y z (fractional)
1 Nd 0.000 0.000 0.000
2 Nd 0.000 0.500 0.500
3 Nd 0.500 0.000 0.500
4 Nd 0.500 0.500 0.000
5 Dy 0.000 0.000 0.500
6 Dy 0.000 0.500 0.000
7 Dy 0.500 0.000 0.000
8 Dy 0.500 0.500 0.500
9 Ni 0.250 0.250 0.250
10 Ni 0.250 0.750 0.750
11 Ni 0.750 0.250 0.750
12 Ni 0.750 0.750 0.250
13 Ag 0.250 0.250 0.750
14 Ag 0.250 0.750 0.250
15 Ag 0.750 0.250 0.250
16 Ag 0.750 0.750 0.750

Output
As for the total energy: -4.75 eV/atom. Its space-group type is F-43m, No. 216. Its density of states at the Fermi level is 0.6424 states/eV per atom. As for the formation energy: -0.254 eV per atom.